Entry 1:
First-principles (PBE) data for a relaxed Na2YHoSe4 crystal, as listed in Alexandria. Values from VASP.

Geometry as Quantum ESPRESSO input:
```
&SYSTEM
  ibrav = 0, nat = 8, ntyp = 4
/
ATOMIC_SPECIES
Na 22.99 Na.upf
Y 88.91 Y.upf
Ho 164.93 Ho.upf
Se 78.96 Se.upf
ATOMIC_POSITIONS crystal
Na 0.0000 0.0000 0.0000
Na 0.5000 0.5000 0.0000
Y 0.0000 0.5000 0.5000
Ho 0.5000 0.0000 0.5000
Se 0.2443 0.0000 0.7295
Se 0.2584 0.5000 0.2712
Se 0.7416 0.5000 0.7288
Se 0.7557 0.0000 0.2705
CELL_PARAMETERS angstrom
7.1684 0.0000 0.0000
0.0000 4.1389 0.0000
-2.3867 0.0000 7.0065
```

Computed properties:
As for the space group: P2/m (10). Its raw formation energy is -1.711 eV/atom. The density of states at the Fermi level is 0.00 states/eV per cell.

---

Entry 2:
First-principles (PBE) data for a relaxed CdGePbO5 crystal, as listed in Alexandria. Values from VASP.

Geometry as Quantum ESPRESSO input:
```
&SYSTEM
  ibrav = 0, nat = 16, ntyp = 4
/
ATOMIC_SPECIES
Cd 112.41 Cd.upf
Ge 72.64 Ge.upf
Pb 207.20 Pb.upf
O 16.00 O.upf
ATOMIC_POSITIONS crystal
Cd 0.1610 0.8390 0.7500
Cd 0.8390 0.1610 0.2500
Ge 0.1777 0.8223 0.2500
Ge 0.8223 0.1777 0.7500
Pb 0.5000 0.5000 0.0000
Pb 0.5000 0.5000 0.5000
O 0.1164 0.2179 0.9190
O 0.1635 0.5892 0.3641
O 0.2179 0.1164 0.4190
O 0.3991 0.6009 0.7500
O 0.4108 0.8365 0.1359
O 0.5892 0.1635 0.8641
O 0.6009 0.3991 0.2500
O 0.7821 0.8836 0.5810
O 0.8365 0.4108 0.6359
O 0.8836 0.7821 0.0810
CELL_PARAMETERS angstrom
3.5353 -4.6031 0.0000
3.5353 4.6031 0.0000
-3.1134 0.0000 7.0030
```

Computed properties:
As for the space group: C2/c (15). Its raw formation energy is -1.201 eV/atom.

---

Entry 3:
First-principles (PBE) data for a relaxed DyGa6Mo crystal, as listed in Alexandria. Values from VASP.

Geometry as Quantum ESPRESSO input:
```
&SYSTEM
  ibrav = 0, nat = 8, ntyp = 3
/
ATOMIC_SPECIES
Dy 162.50 Dy.upf
Ga 69.72 Ga.upf
Mo 95.94 Mo.upf
ATOMIC_POSITIONS crystal
Dy 0.0000 0.0000 0.0000
Ga 0.2251 0.2251 0.6727
Ga 0.2251 0.6727 0.2251
Ga 0.3273 0.7749 0.7749
Ga 0.6727 0.2251 0.2251
Ga 0.7749 0.3273 0.7749
Ga 0.7749 0.7749 0.3273
Mo 0.5000 0.5000 0.5000
CELL_PARAMETERS angstrom
4.7298 2.7308 2.0644
-4.7298 2.7308 2.0644
0.0000 -5.4615 2.0644
```

Computed properties:
As for the space group: R-3m (166). The density of states at the Fermi level is 3.41 states/eV per cell.

---

no.,DFT total energy (eV for the cell shown)
1,-41.31
2,-87.29
3,-34.36